--- w ---
DFT (PBE) results for ScPtN2F after structural relaxation. Values from VASP.

Calculated values
N(E_F) (states/eV/cell): 3.82
Space-group type: P4/mmm (123)

Geometry as Quantum ESPRESSO input:
```
&SYSTEM
  ibrav = 0, nat = 5, ntyp = 4
/
ATOMIC_SPECIES
Sc 44.96 Sc.upf
N 14.01 N.upf
F 19.00 F.upf
Pt 195.08 Pt.upf
CELL_PARAMETERS angstrom
-1.5411 2.7892 2.7783
-2.2734 -3.0664 1.8174
2.9018 -0.7507 2.3633
ATOMIC_POSITIONS angstrom
Sc 0.0000 0.0000 0.0000
N -1.1367 -1.5332 0.9087
N -0.7706 1.3946 1.3891
F 1.4509 -0.3753 1.1816
Pt -0.4563 -0.5139 3.4795
```

***

--- x ---
DFT (PBE) results for ScPtN2F after structural relaxation. Values from VASP.

Calculated values
N(E_F) (states/eV/cell): 4.39
Space-group type: P4/mmm (123)

Geometry as Quantum ESPRESSO input:
```
&SYSTEM
  ibrav = 0, nat = 5, ntyp = 4
/
ATOMIC_SPECIES
Pt 195.08 Pt.upf
N 14.01 N.upf
Sc 44.96 Sc.upf
F 19.00 F.upf
CELL_PARAMETERS angstrom
3.9463 0.0000 0.0000
0.0000 3.9463 0.0000
0.0000 0.0000 4.2052
ATOMIC_POSITIONS angstrom
Pt 0.0000 0.0000 0.0000
N 1.9731 0.0000 0.0000
N 0.0000 1.9731 0.0000
Sc 1.9731 1.9731 2.1026
F 0.0000 0.0000 2.1026
```

***

What should be chosen as the least stable of them? Choose w.

***

--- w ---
DFT (PBE) results for PtSe2NF after structural relaxation. Values from VASP.

Calculated values
N(E_F) (states/eV/cell): 5.75
Space-group type: P4/mmm (123)

Geometry as Quantum ESPRESSO input:
```
&SYSTEM
  ibrav = 0, nat = 5, ntyp = 4
/
ATOMIC_SPECIES
F 19.00 F.upf
Se 78.96 Se.upf
N 14.01 N.upf
Pt 195.08 Pt.upf
CELL_PARAMETERS angstrom
5.2720 0.0000 0.0000
0.0000 5.2720 0.0000
0.0000 0.0000 3.6281
ATOMIC_POSITIONS angstrom
F 2.6360 2.6360 1.8141
Se 2.6360 0.0000 0.0000
Se 0.0000 2.6360 0.0000
N 0.0000 0.0000 1.8141
Pt 0.0000 0.0000 0.0000
```

***

--- x ---
DFT (PBE) results for PtSe2NF after structural relaxation. Values from VASP.

Calculated values
N(E_F) (states/eV/cell): 2.82
Space-group type: P4/mmm (123)

Geometry as Quantum ESPRESSO input:
```
&SYSTEM
  ibrav = 0, nat = 5, ntyp = 4
/
ATOMIC_SPECIES
F 19.00 F.upf
N 14.01 N.upf
Se 78.96 Se.upf
Pt 195.08 Pt.upf
CELL_PARAMETERS angstrom
4.6277 0.0000 0.0000
0.0000 4.6277 0.0000
0.0000 0.0000 3.7527
ATOMIC_POSITIONS angstrom
F 0.0000 0.0000 0.0000
N 0.0000 0.0000 1.8764
Se 2.3139 0.0000 0.0000
Se 0.0000 2.3139 0.0000
Pt 2.3139 2.3139 1.8764
```

***

What should be chosen as the least stable of them? Choose x.

***

--- w ---
DFT (PBE) results for SnPtN2F after structural relaxation. Values from VASP.

Calculated values
N(E_F) (states/eV/cell): 4.14
Space-group type: P4/mmm (123)

Geometry as Quantum ESPRESSO input:
```
&SYSTEM
  ibrav = 0, nat = 5, ntyp = 4
/
ATOMIC_SPECIES
N 14.01 N.upf
Pt 195.08 Pt.upf
Sn 118.71 Sn.upf
F 19.00 F.upf
CELL_PARAMETERS angstrom
4.1625 0.0000 0.0000
0.0000 4.1625 0.0000
0.0000 0.0000 3.9665
ATOMIC_POSITIONS angstrom
N 2.0813 0.0000 0.0000
N 0.0000 2.0813 0.0000
Pt 2.0813 2.0813 1.9833
Sn 0.0000 0.0000 0.0000
F 0.0000 0.0000 1.9833
```

***

--- x ---
DFT (PBE) results for SnPtN2F after structural relaxation. Values from VASP.

Calculated values
N(E_F) (states/eV/cell): 2.41
Space-group type: P4/mmm (123)

Geometry as Quantum ESPRESSO input:
```
&SYSTEM
  ibrav = 0, nat = 5, ntyp = 4
/
ATOMIC_SPECIES
Sn 118.71 Sn.upf
F 19.00 F.upf
N 14.01 N.upf
Pt 195.08 Pt.upf
CELL_PARAMETERS angstrom
-0.5808 -1.6806 -3.3596
3.7532 -0.1167 -0.5905
0.2278 -4.9145 2.4191
ATOMIC_POSITIONS angstrom
Sn 1.7001 -3.3559 -0.7655
F 0.1139 -2.4573 1.2095
N 1.8766 -0.0584 -0.2952
N -0.2904 -0.8403 -1.6798
Pt 0.0000 0.0000 0.0000
```

***

What should be chosen as the least stable of them? Choose w.